Record 1
Density functional theory data (PBE) for AcPAu after structural relaxation.

The energy above the most stable polymorph in this dataset is 0.352 eV/atom. Its calculated formation energy is -186.6 kJ/mol of formula units.

Unit cell a=5.364 b=5.364 c=5.364 alpha=133.23 beta=133.23 gamma=68.29
Atoms (fractional coordinates):
Ac  0.000  0.000  0.000
P  0.628  0.628  0.000
Au  0.343  0.343  0.000


Record 2
Density functional theory data (PBE) for AcP3Au3 after structural relaxation.

Its calculated formation energy is -177.1 kJ/mol of formula units.

Unit cell a=6.843 b=6.843 c=6.843 alpha=90.00 beta=90.00 gamma=90.00
Atoms (fractional coordinates):
Ac  0.000  0.000  0.000
Ac  0.500  0.500  0.500
P  0.000  0.250  0.500
P  0.000  0.750  0.500
P  0.250  0.500  0.000
P  0.500  0.000  0.250
P  0.500  0.000  0.750
P  0.750  0.500  0.000
Au  0.000  0.500  0.250
Au  0.000  0.500  0.750
Au  0.250  0.000  0.500
Au  0.500  0.250  0.000
Au  0.500  0.750  0.000
Au  0.750  0.000  0.500


Record 3
Density functional theory data (PBE) for Ac2P3Au6 after structural relaxation.

Its calculated formation energy is -556.6 kJ/mol of formula units.

Unit cell a=7.892 b=7.892 c=4.386 alpha=90.00 beta=90.00 gamma=120.00
Atoms (fractional coordinates):
Ac  0.333  0.667  0.000
Ac  0.667  0.333  0.000
P  0.000  0.356  0.500
P  0.356  0.000  0.500
P  0.644  0.644  0.500
Au  0.000  0.206  0.000
Au  0.000  0.673  0.500
Au  0.206  0.000  0.000
Au  0.327  0.327  0.500
Au  0.673  0.000  0.500
Au  0.794  0.794  0.000


Record 4
Density functional theory data (PBE) for Ac3P5Au6 after structural relaxation.

Its calculated formation energy is -810.0 kJ/mol of formula units.

Unit cell a=4.335 b=13.310 c=10.498 alpha=90.00 beta=90.00 gamma=90.00
Atoms (fractional coordinates):
Ac  0.250  0.090  0.242
Ac  0.250  0.410  0.242
Ac  0.250  0.750  0.269
Ac  0.750  0.250  0.731
Ac  0.750  0.590  0.758
Ac  0.750  0.910  0.758
P  0.250  0.080  0.850
P  0.250  0.420  0.850
P  0.250  0.619  0.520
P  0.250  0.750  0.847
P  0.250  0.881  0.520
P  0.750  0.119  0.480
P  0.750  0.250  0.153
P  0.750  0.381  0.480
P  0.750  0.580  0.150
P  0.750  0.920  0.150
Au  0.250  0.063  0.611
Au  0.250  0.250  0.470
Au  0.250  0.250  0.974
Au  0.250  0.437  0.611
Au  0.250  0.593  0.011
Au  0.250  0.907  0.011
Au  0.750  0.093  0.989
Au  0.750  0.407  0.989
Au  0.750  0.563  0.389
Au  0.750  0.750  0.026
Au  0.750  0.750  0.530
Au  0.750  0.937  0.389


Record 5
Density functional theory data (PBE) for AcPPbAu after structural relaxation.

Its calculated formation energy is -202.9 kJ/mol of formula units.

Unit cell a=5.276 b=5.276 c=5.276 alpha=60.00 beta=60.00 gamma=60.00
Atoms (fractional coordinates):
Ac  0.000  0.000  0.000
P  0.750  0.750  0.750
Pb  0.500  0.500  0.500
Au  0.250  0.250  0.250


Record 6
Density functional theory data (PBE) for Ac2P3Pd12Au after structural relaxation.

Its calculated formation energy is -661.3 kJ/mol of formula units.

Unit cell a=7.488 b=7.488 c=7.488 alpha=70.53 beta=70.53 gamma=70.53
Atoms (fractional coordinates):
Ac  0.109  0.109  0.109
Ac  0.891  0.891  0.891
P  0.000  0.500  0.500
P  0.500  0.000  0.500
P  0.500  0.500  0.000
Pd  0.119  0.642  0.642
Pd  0.206  0.206  0.624
Pd  0.206  0.624  0.206
Pd  0.358  0.358  0.881
Pd  0.358  0.881  0.358
Pd  0.376  0.794  0.794
Pd  0.624  0.206  0.206
Pd  0.642  0.119  0.642
Pd  0.642  0.642  0.119
Pd  0.794  0.376  0.794
Pd  0.794  0.794  0.376
Pd  0.881  0.358  0.358
Au  0.500  0.500  0.500


Record 7
Density functional theory data (PBE) for AcP2Pd4Au after structural relaxation.

Its calculated formation energy is -447.7 kJ/mol of formula units.

Unit cell a=4.354 b=4.354 c=8.035 alpha=90.00 beta=90.00 gamma=90.00
Atoms (fractional coordinates):
Ac  0.000  0.000  0.000
P  0.500  0.500  0.143
P  0.500  0.500  0.857
Pd  0.000  0.500  0.288
Pd  0.000  0.500  0.712
Pd  0.500  0.000  0.288
Pd  0.500  0.000  0.712
Au  0.000  0.000  0.500


Record 8
Density functional theory data (PBE) for Ac2PPd6Au after structural relaxation.

Its calculated formation energy is -717.5 kJ/mol of formula units.

Unit cell a=5.580 b=6.424 c=7.173 alpha=76.72 beta=67.14 gamma=64.27
Atoms (fractional coordinates):
Ac  0.228  0.246  0.301
Ac  0.772  0.754  0.699
P  0.000  0.000  0.000
Pd  0.247  0.610  0.895
Pd  0.253  0.220  0.779
Pd  0.255  0.780  0.219
Pd  0.745  0.220  0.781
Pd  0.747  0.780  0.221
Pd  0.753  0.390  0.105
Au  0.500  0.500  0.500


Record 9
Density functional theory data (PBE) for AcP2Pd5Au after structural relaxation.

Its calculated formation energy is -422.5 kJ/mol of formula units.

Unit cell a=4.422 b=4.422 c=9.309 alpha=90.00 beta=90.00 gamma=90.00
Atoms (fractional coordinates):
Ac  0.000  0.000  0.000
P  0.500  0.500  0.246
P  0.500  0.500  0.754
Pd  0.000  0.500  0.322
Pd  0.000  0.500  0.678
Pd  0.500  0.000  0.322
Pd  0.500  0.000  0.678
Pd  0.500  0.500  0.000
Au  0.000  0.000  0.500


Record 10
Density functional theory data (PBE) for Ac2P3Pd4Au after structural relaxation.

Its calculated formation energy is -803.1 kJ/mol of formula units.

Unit cell a=4.410 b=4.410 c=10.190 alpha=90.00 beta=90.00 gamma=90.00
Atoms (fractional coordinates):
Ac  0.000  0.500  0.248
Ac  0.500  0.000  0.752
P  0.000  0.500  0.878
P  0.500  0.000  0.122
P  0.500  0.500  0.500
Pd  0.000  0.000  0.000
Pd  0.000  0.500  0.646
Pd  0.500  0.000  0.354
Pd  0.500  0.500  0.000
Au  0.000  0.000  0.500


Record 11
Density functional theory data (PBE) for Ac2P4Pd3Au after structural relaxation.

Its calculated formation energy is -837.2 kJ/mol of formula units.

Unit cell a=4.457 b=4.457 c=9.812 alpha=90.00 beta=90.00 gamma=90.00
Atoms (fractional coordinates):
Ac  0.000  0.500  0.244
Ac  0.500  0.000  0.756
P  0.000  0.000  0.000
P  0.000  0.500  0.638
P  0.500  0.000  0.362
P  0.500  0.500  0.000
Pd  0.000  0.500  0.892
Pd  0.500  0.000  0.108
Pd  0.500  0.500  0.500
Au  0.000  0.000  0.500


Record 12
Density functional theory data (PBE) for AcPmPAu after structural relaxation.

Its calculated formation energy is -305.7 kJ/mol of formula units.

Unit cell a=5.286 b=5.286 c=5.286 alpha=60.00 beta=60.00 gamma=60.00
Atoms (fractional coordinates):
Ac  0.000  0.000  0.000
Pm  0.500  0.500  0.500
P  0.250  0.250  0.250
Au  0.750  0.750  0.750


What did the seventh record say?
Density functional theory data (PBE) for AcP2Pd4Au after structural relaxation.

Its calculated formation energy is -447.7 kJ/mol of formula units.

Unit cell a=4.354 b=4.354 c=8.035 alpha=90.00 beta=90.00 gamma=90.00
Atoms (fractional coordinates):
Ac  0.000  0.000  0.000
P  0.500  0.500  0.143
P  0.500  0.500  0.857
Pd  0.000  0.500  0.288
Pd  0.000  0.500  0.712
Pd  0.500  0.000  0.288
Pd  0.500  0.000  0.712
Au  0.000  0.000  0.500


- Which value of calculated formation energy does entry 7 give?
  -447.7 kJ/mol of formula units


- Look up the calculated formation energy of the eighth one.
  -717.5 kJ/mol of formula units